Computed, not measured: an optimized crystal structure of Rb2Na2Mg at the GGA-PBE level of DFT.

Summary:
final energy	-1.0888	eV per atom
spin magnetization	0.00	μB per atom
energy of formation	0.14	eV/atom
energy relative to the lowest polymorph listed for this composition	0	meV/atom
volume	51.759	A^3/atom
calculated density	1548	kg/m³

Cell lengths 8.897, 8.897, 6.538 Å; angles 90.00, 90.00, 90.00 degrees
Atoms (fractional coordinates):
Na: 0.360 0.860 0.000
Na: 0.860 0.640 0.000
Na: 0.640 0.140 0.000
Na: 0.140 0.360 0.000
Mg: 0.000 0.000 0.000
Mg: 0.500 0.500 0.000
Rb: 0.185 0.685 0.500
Rb: 0.685 0.815 0.500
Rb: 0.815 0.315 0.500
Rb: 0.315 0.185 0.500

=====

Computed, not measured: an optimized crystal structure of Ga2CuS3 at the GGA-PBE level of DFT.

Summary:
ΔE_f (raw)	-289	meV per atom
final energy	-4.0447	eV per atom
spin magnetization	0.00	μB per atom
volume	17.897	A^3/atom
calculated density	4627	kg/m³

Cell lengths 3.582, 6.321, 9.674 Å; angles 78.65, 90.00, 90.00 degrees
Atoms (fractional coordinates):
Ga: 0.250 0.273 0.491
Ga: 0.750 0.727 0.509
Ga: 0.750 0.164 0.871
Ga: 0.250 0.836 0.129
Cu: 0.250 0.808 0.793
Cu: 0.750 0.192 0.207
S: 0.750 0.034 0.647
S: 0.250 0.966 0.353
S: 0.750 0.464 0.345
S: 0.250 0.536 0.655
S: 0.250 0.237 0.029
S: 0.750 0.763 0.971

=====

Computed, not measured: an optimized crystal structure of La2YTmAs4 at the GGA-PBE level of DFT.

Summary:
final energy	-6.4640	eV per atom
spin magnetization	0.00	μB per atom
energy of formation	-1.54	eV/atom
volume	26.865	A^3/atom
calculated density	6454	kg/m³

Cell lengths 4.240, 7.325, 7.341 Å; angles 70.50, 90.00, 90.00 degrees
Atoms (fractional coordinates):
La: 0.000 0.000 0.000
La: 0.500 0.000 0.500
Y: 0.500 0.500 0.000
Tm: 0.000 0.500 0.500
As: 0.000 0.736 0.753
As: 0.000 0.264 0.247
As: 0.500 0.735 0.257
As: 0.500 0.265 0.743

=====

Computed, not measured: an optimized crystal structure of KOs at the GGA-PBE level of DFT.

Summary:
final energy	-4.7085	eV per atom
spin magnetization	0.74	μB per atom
energy of formation	1.46	eV/atom
energy relative to the lowest polymorph listed for this composition	757	meV/atom
volume	33.961	A^3/atom
calculated density	5607	kg/m³

Cell lengths 5.772, 5.772, 4.708 Å; angles 90.00, 90.00, 120.00 degrees
Atoms (fractional coordinates):
K: 0.333 0.667 0.250
K: 0.667 0.333 0.750
Os: 0.000 0.000 0.000
Os: 0.000 0.000 0.500

=====

Computed, not measured: an optimized crystal structure of Nb2BI at the GGA-PBE level of DFT.

Summary:
ΔE_f (raw)	643	meV per atom
final energy	-6.4492	eV per atom
spin magnetization	0.00	μB per atom
energy relative to the lowest polymorph listed for this composition	0	meV/atom
volume	22.037	A^3/atom
calculated density	6095	kg/m³

Cell lengths 5.452, 5.452, 7.074 Å; angles 67.34, 67.34, 90.00 degrees
Atoms (fractional coordinates):
I: 0.000 0.000 0.000
I: 0.750 0.250 0.500
Nb: 0.509 0.125 0.250
Nb: 0.241 0.625 0.250
Nb: 0.375 0.491 0.750
Nb: 0.875 0.759 0.750
B: 0.500 0.500 0.000
B: 0.250 0.750 0.500

=====

Computed, not measured: an optimized crystal structure of NaTi2O at the GGA-PBE level of DFT.

Summary:
ΔE_f (raw)	-678	meV per atom
final energy	-6.1948	eV per atom
spin magnetization	0.22	μB per atom
volume	20.560	A^3/atom
calculated density	2720	kg/m³

Cell lengths 6.234, 6.234, 6.111 Å; angles 59.33, 59.33, 90.00 degrees
Atoms (fractional coordinates):
Na: 0.000 0.000 0.000
Na: 0.750 0.250 0.500
O: 0.500 0.500 0.000
O: 0.250 0.750 0.500
Ti: 0.444 0.125 0.250
Ti: 0.306 0.625 0.250
Ti: 0.375 0.556 0.750
Ti: 0.875 0.694 0.750

=====

Computed, not measured: an optimized crystal structure of CdTc2Hg at the GGA-PBE level of DFT.

Summary:
final energy	-4.8703	eV per atom
spin magnetization	0.00	μB per atom
energy of formation	0.62	eV/atom
energy relative to the lowest polymorph listed for this composition	442	meV/atom
volume	17.380	A^3/atom
calculated density	12158	kg/m³

Cell lengths 5.130, 5.130, 4.878 Å; angles 79.24, 79.24, 33.51 degrees
Atoms (fractional coordinates):
Cd: 0.750 0.750 0.750
Hg: 0.250 0.250 0.250
Tc: 0.999 0.999 0.983
Tc: 0.501 0.501 0.517

=====

Computed, not measured: an optimized crystal structure of ZrMn2Tc at the GGA-PBE level of DFT.

Summary:
final energy	-8.8950	eV per atom
spin magnetization	1.04	μB per atom
energy of formation	0.42	eV/atom
energy relative to the lowest polymorph listed for this composition	392	meV/atom
volume	16.358	A^3/atom
calculated density	7591	kg/m³

Cell lengths 6.973, 6.973, 5.617 Å; angles 51.64, 51.64, 90.00 degrees
Atoms (fractional coordinates):
Mn: 0.661 0.125 0.250
Mn: 0.089 0.625 0.250
Mn: 0.375 0.339 0.750
Mn: 0.875 0.911 0.750
Tc: 0.000 0.000 0.000
Tc: 0.750 0.250 0.500
Zr: 0.500 0.500 0.000
Zr: 0.250 0.750 0.500